(w)
Below is a geometry-optimized PmPS4 structure, with properties calculated at the PBE level.

Calculated values
Size of the total moment in μB per formula unit: 0.0

a b c (Å): 6.4421 6.4421 7.0906
angles (deg): 90.00 90.00 90.00
Space group I-4 (No. 82)
Inequivalent atoms, fractional coordinates:
Pm1 0.0000 0.0000 0.0000 (multiplicity 2)
P1 0.0000 0.5000 0.7500 (multiplicity 2)
S1 0.1503 0.2615 0.6119 (multiplicity 8)

***

(x)
Below is a geometry-optimized PmPS4 structure, with properties calculated at the PBE level.

Calculated values
Size of the total moment in μB per formula unit: 0.0

a b c (Å): 9.1086 9.1086 7.2635
angles (deg): 90.00 90.00 90.00
Space group I4_1/amd (No. 141, origin choice 2)
Inequivalent atoms, fractional coordinates:
Pm1 0.0000 0.2500 0.3750 (multiplicity 4)
P1 0.0000 0.2500 0.8750 (multiplicity 4)
S1 0.0000 0.0757 0.6943 (multiplicity 16)

***

Most stable: (x)

***

(w)
Below is a geometry-optimized Pm2SbP structure, with properties calculated at the PBE level.

Calculated values
Size of the total moment in μB per formula unit: 0.0

a b c (Å): 4.2447 4.2447 22.0692
angles (deg): 90.00 90.00 120.00
Space group R3m (No. 160, hexagonal axes)
Inequivalent atoms, fractional coordinates:
Pm1 0.0000 0.0000 0.0000 (multiplicity 3)
Pm2 0.0000 0.0000 0.1857 (multiplicity 3)
Sb1 0.0000 0.0000 0.4255 (multiplicity 3)
P1 0.0000 0.0000 0.5943 (multiplicity 3)

***

(x)
Below is a geometry-optimized Pm2SbP structure, with properties calculated at the PBE level.

Calculated values
Size of the total moment in μB per formula unit: 0.0

a b c (Å): 7.4720 7.4720 7.4720
angles (deg): 90.00 90.00 90.00
Space group Fm-3m (No. 225)
Inequivalent atoms, fractional coordinates:
Pm1 0.2500 0.2500 0.2500 (multiplicity 8)
Sb1 0.0000 0.0000 0.0000 (multiplicity 4)
P1 0.0000 0.0000 0.5000 (multiplicity 4)

***

Most stable: (w)

***

(w)
Below is a geometry-optimized Pm2SbP structure, with properties calculated at the PBE level.

Calculated values
Size of the total moment in μB per formula unit: 0.0

a b c (Å): 4.2774 4.2774 21.4186
angles (deg): 90.00 90.00 120.00
Space group R-3m (No. 166, hexagonal axes)
Inequivalent atoms, fractional coordinates:
Pm1 0.0000 0.0000 0.2421 (multiplicity 6)
Sb1 0.0000 0.0000 0.0000 (multiplicity 3)
P1 0.0000 0.0000 0.5000 (multiplicity 3)

***

(x)
Below is a geometry-optimized Pm2SbP structure, with properties calculated at the PBE level.

Calculated values
Size of the total moment in μB per formula unit: 0.0

a b c (Å): 3.5719 3.5719 7.9379
angles (deg): 90.00 90.00 90.00
Space group P4/mmm (No. 123)
Inequivalent atoms, fractional coordinates:
Pm1 0.0000 0.0000 0.2135 (multiplicity 2)
Sb1 0.5000 0.5000 0.5000 (multiplicity 1)
P1 0.5000 0.5000 0.0000 (multiplicity 1)

***

Most stable: (w)

***

(w)
Below is a geometry-optimized Pm3SbP structure, with properties calculated at the PBE level.

Calculated values
Size of the total moment in μB per formula unit: 0.0

a b c (Å): 8.5798 4.2755 15.5265
angles (deg): 90.00 90.00 90.00
Space group Pnma (No. 62)
Inequivalent atoms, fractional coordinates:
Pm1 0.0177 0.2500 0.1069 (multiplicity 4)
Pm2 0.1564 0.2500 0.5300 (multiplicity 4)
Pm3 0.1764 0.7500 0.2886 (multiplicity 4)
Sb1 0.1084 0.7500 0.6879 (multiplicity 4)
P1 0.1840 0.2500 0.9481 (multiplicity 4)

***

(x)
Below is a geometry-optimized Pm3SbP structure, with properties calculated at the PBE level.

Calculated values
Size of the total moment in μB per formula unit: 0.0

a b c (Å): 5.3851 5.3851 5.3851
angles (deg): 90.00 90.00 90.00
Space group Pm-3m (No. 221)
Inequivalent atoms, fractional coordinates:
Pm1 0.0000 0.0000 0.5000 (multiplicity 3)
Sb1 0.5000 0.5000 0.5000 (multiplicity 1)
P1 0.0000 0.0000 0.0000 (multiplicity 1)

***

Most stable: (w)